! Li7Mn2Co3O12, optimized geometry, DFT GGA+U; values from VASP
&SYSTEM
  ibrav = 0, nat = 24, ntyp = 4
/
ATOMIC_SPECIES
Li 6.94 Li.upf
Mn 54.94 Mn.upf
Co 58.93 Co.upf
O 16.00 O.upf
CELL_PARAMETERS angstrom
5.1575 0.0000 0.0000
-1.7642 5.6145 0.0000
-0.8891 -1.6700 7.3663
ATOMIC_POSITIONS crystal
Li 0.0000 0.0000 0.0000
Li 0.4884 0.4086 0.1568
Li 0.4969 0.9174 0.1605
Li 0.4991 0.2461 0.4989
Li 0.5009 0.7539 0.5011
Li 0.5031 0.0826 0.8395
Li 0.5116 0.5914 0.8432
Mn 0.0008 0.3339 0.3308
Mn 0.9992 0.6661 0.6692
Co 0.0000 0.5000 0.0000
Co 0.0135 0.1635 0.6826
Co 0.9865 0.8365 0.3174
O 0.2192 0.4615 0.5751
O 0.2225 0.6118 0.2443
O 0.2217 0.7638 0.9090
O 0.2235 0.9350 0.5806
O 0.2295 0.1423 0.2632
O 0.2451 0.2837 0.9014
O 0.7549 0.7163 0.0986
O 0.7705 0.8577 0.7368
O 0.7765 0.0650 0.4194
O 0.7783 0.2362 0.0910
O 0.7775 0.3882 0.7557
O 0.7808 0.5385 0.4249
! - crystal system = triclinic
! - offset from the most stable computed form (eV/f.u.) = 0.58
! - electronic total energy (eV per atom) = -5.87
! - space-group type = P-1 (2)